[1]
# La2MgTa | Alexandria via LeMat-Bulk | PBE | relaxed
data_La2MgTa
_chemical_formula_sum 'La6 Mg3 Ta3'
_symmetry_space_group_name_H-M 'R -3 m'
_symmetry_Int_Tables_number 166
_symmetry_space_group_name_Hall '-R 3 2"'
_cell_length_a 3.3184
_cell_length_b 3.3184
_cell_length_c 34.7194
_cell_angle_alpha 90.00
_cell_angle_beta 90.00
_cell_angle_gamma 120.00
loop_
_atom_site_label
_atom_site_type_symbol
_atom_site_fract_x
_atom_site_fract_y
_atom_site_fract_z
La1 La 0.0000 0.0000 0.2425
Mg1 Mg 0.0000 0.0000 0.0000
Ta1 Ta 0.0000 0.0000 0.5000
# ΔH_f (0 K)   394 meV/atom

---

[2]
# La4MgTa | Alexandria via LeMat-Bulk | PBE | relaxed
data_La4MgTa
_chemical_formula_sum 'La16 Mg4 Ta4'
_symmetry_space_group_name_H-M 'F -4 3 m'
_symmetry_Int_Tables_number 216
_symmetry_space_group_name_Hall 'F -4 2 3'
_cell_length_a 9.095
_cell_length_b 9.095
_cell_length_c 9.095
_cell_angle_alpha 90.00
_cell_angle_beta 90.00
_cell_angle_gamma 90.00
loop_
_atom_site_label
_atom_site_type_symbol
_atom_site_fract_x
_atom_site_fract_y
_atom_site_fract_z
La1 La 0.123 0.123 0.377
Mg1 Mg 0.000 0.000 0.000
Ta1 Ta 0.250 0.250 0.750
# ΔH_f (0 K)   729 meV/atom

---

[3]
# LaMg2Ta | Alexandria via LeMat-Bulk | PBE | relaxed
data_LaMg2Ta
_chemical_formula_sum 'La2 Mg4 Ta2'
_symmetry_space_group_name_H-M 'I -4 m 2'
_symmetry_Int_Tables_number 119
_symmetry_space_group_name_Hall 'I -4 -2'
_cell_length_a 4.561
_cell_length_b 4.561
_cell_length_c 9.220
_cell_angle_alpha 90.00
_cell_angle_beta 90.00
_cell_angle_gamma 90.00
loop_
_atom_site_label
_atom_site_type_symbol
_atom_site_fract_x
_atom_site_fract_y
_atom_site_fract_z
La1 La 0.000 0.000 0.000
Mg1 Mg 0.000 0.000 0.500
Mg2 Mg 0.000 0.500 0.750
Ta1 Ta 0.000 0.500 0.250
# ΔH_f (0 K)   477 meV/atom
# Polymorph energy (0 for the lowest one)   240.2 meV/atom

---

[4]
# LaMg2Ta | Alexandria via LeMat-Bulk | PBE | relaxed
data_LaMg2Ta
_chemical_formula_sum 'La1 Mg2 Ta1'
_symmetry_space_group_name_H-M 'P m m m'
_symmetry_Int_Tables_number 47
_symmetry_space_group_name_Hall '-P 2 2'
_cell_length_a 3.243
_cell_length_b 5.155
_cell_length_c 5.648
_cell_angle_alpha 90.00
_cell_angle_beta 90.00
_cell_angle_gamma 90.00
loop_
_atom_site_label
_atom_site_type_symbol
_atom_site_fract_x
_atom_site_fract_y
_atom_site_fract_z
La1 La 0.000 0.000 0.000
Mg1 Mg 0.000 0.500 0.500
Mg2 Mg 0.500 0.000 0.500
Ta1 Ta 0.500 0.500 0.000
# ΔH_f (0 K)   382 meV/atom
# Polymorph energy (0 for the lowest one)   144.4 meV/atom

---

[5]
# LaMg2Ta | Alexandria via LeMat-Bulk | PBE | relaxed
data_LaMg2Ta
_chemical_formula_sum 'La1 Mg2 Ta1'
_symmetry_space_group_name_H-M 'P 4/m m m'
_symmetry_Int_Tables_number 123
_symmetry_space_group_name_Hall '-P 4 2'
_cell_length_a 4.470
_cell_length_b 4.470
_cell_length_c 4.793
_cell_angle_alpha 90.00
_cell_angle_beta 90.00
_cell_angle_gamma 90.00
loop_
_atom_site_label
_atom_site_type_symbol
_atom_site_fract_x
_atom_site_fract_y
_atom_site_fract_z
La1 La 0.000 0.000 0.000
Mg1 Mg 0.000 0.500 0.500
Ta1 Ta 0.500 0.500 0.000
# ΔH_f (0 K)   437 meV/atom
# Polymorph energy (0 for the lowest one)   199.5 meV/atom

---

[6]
# LaMgTa | Alexandria via LeMat-Bulk | PBE | relaxed
data_LaMgTa
_chemical_formula_sum 'La4 Mg4 Ta4'
_symmetry_space_group_name_H-M 'F -4 3 m'
_symmetry_Int_Tables_number 216
_symmetry_space_group_name_Hall 'F -4 2 3'
_cell_length_a 7.001
_cell_length_b 7.001
_cell_length_c 7.001
_cell_angle_alpha 90.00
_cell_angle_beta 90.00
_cell_angle_gamma 90.00
loop_
_atom_site_label
_atom_site_type_symbol
_atom_site_fract_x
_atom_site_fract_y
_atom_site_fract_z
La1 La 0.000 0.000 0.000
Mg1 Mg 0.000 0.000 0.500
Ta1 Ta 0.250 0.250 0.750
# ΔH_f (0 K)   1012 meV/atom
# Polymorph energy (0 for the lowest one)   887.0 meV/atom

---

[7]
# LaMgTa | Alexandria via LeMat-Bulk | PBE | relaxed
data_LaMgTa
_chemical_formula_sum 'La4 Mg4 Ta4'
_symmetry_space_group_name_H-M 'C 1 2/m 1'
_symmetry_Int_Tables_number 12
_symmetry_space_group_name_Hall '-C 2y'
_cell_length_a 12.629
_cell_length_b 3.415
_cell_length_c 7.374
_cell_angle_alpha 90.00
_cell_angle_beta 103.45
_cell_angle_gamma 90.00
loop_
_atom_site_label
_atom_site_type_symbol
_atom_site_fract_x
_atom_site_fract_y
_atom_site_fract_z
La1 La 0.010 0.000 0.247
Mg1 Mg 0.198 0.500 0.633
Ta1 Ta 0.178 0.500 0.041
# ΔH_f (0 K)   277 meV/atom
# Polymorph energy (0 for the lowest one)   152.1 meV/atom

---

[8]
# La2MgTa | Alexandria via LeMat-Bulk | PBE | relaxed
data_La2MgTa
_chemical_formula_sum 'La4 Mg2 Ta2'
_symmetry_space_group_name_H-M 'C m m m'
_symmetry_Int_Tables_number 65
_symmetry_space_group_name_Hall '-C 2 2'
_cell_length_a 7.073
_cell_length_b 9.228
_cell_length_c 3.328
_cell_angle_alpha 90.00
_cell_angle_beta 90.00
_cell_angle_gamma 90.00
loop_
_atom_site_label
_atom_site_type_symbol
_atom_site_fract_x
_atom_site_fract_y
_atom_site_fract_z
La1 La 0.250 0.250 0.000
Mg1 Mg 0.000 0.000 0.500
Ta1 Ta 0.000 0.500 0.500
# ΔH_f (0 K)   363 meV/atom

---

Q: ΔH_f (0 K) of number 4 (LaMg2Ta)?
A: 382 meV/atom